A geometry-optimized AsOsRh2 structure. Source: Alexandria, functional PBE.

Values from the calculation:
Raw total energy ... -0.5558 Ry per atom
Energy of formation from the pure elements ... 84 meV/atom
Total moment ... 0.00 μB per atom

Cell lengths 2.8117, 2.8117, 7.4632 Å; angles 90.00, 90.00, 90.00 degrees
With the nearest neighbours (Å) after each atom.
Space group P4/mmm (No. 123)
Inequivalent atoms, fractional coordinates:
As 0.0000 0.0000 0.0000 (multiplicity 1)  8 Rh 2.75, 4 As 2.81
Os 0.0000 0.0000 0.5000 (multiplicity 1)  8 Rh 2.70, 4 Os 2.81
Rh 0.5000 0.5000 0.2543 (multiplicity 2)  4 Os 2.70, 4 As 2.75, 4 Rh 2.81